i:
Compound: HfMnI2
Source: the Alexandria database
Functional: PBE
Structure: relaxed

Computed properties:
Volume ... 90.7 Å³ per cell
Total moment ... 4.1 μB/f.u.
Space group ... No. 225

POSCAR file:
```
HfMnI2
1.0
3.743 -2.310 2.468
-1.054 -3.466 3.509
0.980 -4.867 -0.888
Hf Mn I
1 1 2
Direct
0.500 0.500 0.500
0.000 0.000 0.000
0.250 0.250 0.250
0.750 0.750 0.750
```


ii:
Compound: HfMnI2
Source: the Alexandria database
Functional: PBE
Structure: relaxed

Computed properties:
Volume ... 248.3 Å³ per cell
Total moment ... 1.3 μB/f.u.
Space group ... No. 122

POSCAR file:
```
HfMnI2
1.0
-0.582 -6.552 -1.342
1.161 -1.426 6.456
-5.115 -3.720 3.589
Hf I Mn
2 4 2
Direct
0.750 0.250 0.500
0.000 0.000 0.000
0.153 0.625 0.250
0.597 0.125 0.250
0.375 0.403 0.750
0.875 0.847 0.750
0.250 0.750 0.500
0.500 0.500 0.000
```


Relative calculated energies, zero for the most stable structure, unit meV per atom: i 0; ii 288.


i:
Compound: HfMnSi2I
Source: the Alexandria database
Functional: PBE
Structure: relaxed

Computed properties:
Volume ... 144.2 Å³ per cell
Total moment ... 4.1 μB/f.u.
Space group ... No. 123

POSCAR file:
```
HfMnSi2I
1.0
5.241 0.000 0.000
0.000 5.248 0.000
0.000 0.000 5.241
Si Mn I Hf
2 1 1 1
Direct
0.000 0.000 0.500
0.500 0.000 0.000
0.500 0.500 0.500
0.000 0.000 0.000
0.000 0.500 0.000
```


ii:
Compound: HfMnSi2I
Source: the Alexandria database
Functional: PBE
Structure: relaxed

Computed properties:
Volume ... 100.3 Å³ per cell
Total moment ... 0.0 μB/f.u.
Space group ... No. 123

POSCAR file:
```
HfMnSi2I
1.0
-1.164 -0.240 4.230
5.005 0.062 1.381
-0.115 4.387 0.218
Si I Mn Hf
2 1 1 1
Direct
0.000 0.000 0.500
0.500 0.000 0.000
0.500 0.500 0.500
0.000 0.000 0.000
0.000 0.500 0.000
```


Relative calculated energies, zero for the most stable structure, unit meV per atom: i 1669; ii 0.


i:
Compound: HfMo2I
Source: the Alexandria database
Functional: PBE
Structure: relaxed

Computed properties:
Volume ... 72.7 Å³ per cell
Total moment ... 0.0 μB/f.u.
Space group ... No. 225

POSCAR file:
```
HfMo2I
1.0
-2.169 -3.823 1.620
-4.651 0.004 0.556
-2.702 -2.547 -2.855
Mo I Hf
2 1 1
Direct
0.250 0.250 0.250
0.750 0.750 0.750
0.000 0.000 0.000
0.500 0.500 0.500
```


ii:
Compound: HfMo2I
Source: the Alexandria database
Functional: PBE
Structure: relaxed

Computed properties:
Volume ... 163.9 Å³ per cell
Total moment ... 0.0 μB/f.u.
Space group ... No. 122

POSCAR file:
```
HfMo2I
1.0
-3.266 0.398 -2.204
-2.200 -1.304 3.024
-3.847 9.362 3.831
Mo Hf I
4 2 2
Direct
0.655 0.125 0.250
0.095 0.625 0.250
0.375 0.345 0.750
0.875 0.905 0.750
0.000 0.000 0.000
0.750 0.250 0.500
0.250 0.750 0.500
0.500 0.500 0.000
```


Relative calculated energies, zero for the most stable structure, unit meV per atom: i 0; ii 262.


i:
Compound: Hf3MoI
Source: the Alexandria database
Functional: PBE
Structure: relaxed

Computed properties:
Volume ... 133.4 Å³ per cell
Total moment ... 2.1 μB/f.u.
Space group ... No. 221

POSCAR file:
```
Hf3MoI
1.0
5.109 0.000 0.000
0.000 5.109 0.000
0.000 0.000 5.109
Hf Mo I
3 1 1
Direct
0.000 0.500 0.000
0.500 0.000 0.000
0.000 0.000 0.500
0.500 0.500 0.500
0.000 0.000 0.000
```


ii:
Compound: Hf3MoI
Source: the Alexandria database
Functional: PBE
Structure: relaxed

Computed properties:
Volume ... 133.1 Å³ per cell
Total moment ... 0.0 μB/f.u.
Space group ... No. 221

POSCAR file:
```
Hf3MoI
1.0
5.105 0.000 0.000
0.000 5.105 0.000
0.000 0.000 5.105
Hf Mo I
3 1 1
Direct
0.000 0.000 0.500
0.500 0.000 0.000
0.000 0.500 0.000
0.000 0.000 0.000
0.500 0.500 0.500
```


Relative calculated energies, zero for the most stable structure, unit meV per atom: i 848; ii 0.


i:
Compound: HfMoI2N
Source: the Alexandria database
Functional: PBE
Structure: relaxed

Computed properties:
Volume ... 117.8 Å³ per cell
Total moment ... 0.0 μB/f.u.
Space group ... No. 123

POSCAR file:
```
HfMoI2N
1.0
-1.060 -2.413 4.920
5.389 0.452 1.382
-0.675 3.396 1.521
Mo I N Hf
1 2 1 1
Direct
0.000 0.000 0.000
0.000 0.500 0.000
0.500 0.000 0.000
0.000 0.000 0.500
0.500 0.500 0.500
```


ii:
Compound: HfMoI2N
Source: the Alexandria database
Functional: PBE
Structure: relaxed

Computed properties:
Volume ... 138.8 Å³ per cell
Total moment ... 5.0 μB/f.u.
Space group ... No. 123

POSCAR file:
```
HfMoI2N
1.0
5.908 0.000 0.000
0.000 5.908 0.000
0.000 0.000 3.977
Hf I Mo N
1 2 1 1
Direct
0.000 0.000 0.000
0.000 0.500 0.000
0.500 0.000 0.000
0.500 0.500 0.500
0.000 0.000 0.500
```


Relative calculated energies, zero for the most stable structure, unit meV per atom: i 102; ii 0.